(1)
The following is a DFT calculation (PBE) of crystalline GaAgPt at its relaxed geometry.

a = 4.3881 Å, b = 4.3881 Å, c = 2.9614 Å
α = 90.00°, β = 90.00°, γ = 120.00°
Element x y z (fractional)
Ga 0.0000 0.0000 0.0000
Ag 0.3333 0.6667 0.5025
Pt 0.6667 0.3333 0.0027

Calculated values
As for the space group: No. 156. Its calculated volume is 49 Å³ per cell. The total energy comes out at -4.29 eV/atom. The value obtained for the energy of formation from the pure elements is -0.95 eV per formula unit. Its density of states at the Fermi level is 1.1 states/eV/f.u.

---

(2)
The following is a DFT calculation (PBE) of crystalline TmGaTc at its relaxed geometry.

a = 3.4271 Å, b = 3.4271 Å, c = 9.4730 Å
α = 90.00°, β = 90.00°, γ = 90.00°
Element x y z (fractional)
Tm 0.0000 0.0000 0.0000
Tm 0.5000 0.5000 0.5000
Ga 0.0000 0.0000 0.6996
Ga 0.5000 0.5000 0.1996
Tc 0.0000 0.0000 0.3130
Tc 0.5000 0.5000 0.8130

Calculated values
As for the space group: No. 107. Its calculated volume is 111 Å³ per cell. The total energy comes out at -6.25 eV/atom. The value obtained for the energy of formation from the pure elements is -0.88 eV per formula unit. Its density of states at the Fermi level is 2.9 states/eV/f.u.

---

(3)
The following is a DFT calculation (PBE) of crystalline Nd3Cd9Au2 at its relaxed geometry.

a = 8.7651 Å, b = 8.7651 Å, c = 8.7651 Å
α = 147.71°, β = 105.51°, γ = 83.53°
Element x y z (fractional)
Nd 0.0000 0.0000 0.0000
Nd 0.2977 0.2977 0.0000
Nd 0.7023 0.7023 0.0000
Cd 0.0133 0.6455 0.3679
Cd 0.1384 0.8611 0.2773
Cd 0.2776 0.6455 0.6321
Cd 0.4162 0.1389 0.2773
Cd 0.5000 0.0000 0.5000
Cd 0.5838 0.8611 0.7227
Cd 0.7224 0.3545 0.3679
Cd 0.8616 0.1389 0.7227
Cd 0.9867 0.3545 0.6321
Au 0.3380 0.5000 0.8380
Au 0.6620 0.5000 0.1620

Calculated values
As for the space group: No. 71. Its calculated volume is 338 Å³ per cell. The total energy comes out at -2.40 eV/atom. The value obtained for the energy of formation from the pure elements is -4.51 eV per formula unit. Its density of states at the Fermi level is 9.3 states/eV/f.u.

---

(4)
The following is a DFT calculation (PBE) of crystalline Th2Zn3Ir2 at its relaxed geometry.

a = 9.9647 Å, b = 4.2522 Å, c = 7.1603 Å
α = 90.00°, β = 112.04°, γ = 90.00°
Element x y z (fractional)
Th 0.1450 0.0000 0.2684
Th 0.3550 0.5000 0.7316
Th 0.6450 0.5000 0.2684
Th 0.8550 0.0000 0.7316
Zn 0.0000 0.5000 0.5000
Zn 0.1307 0.5000 0.9389
Zn 0.3693 0.0000 0.0611
Zn 0.5000 0.0000 0.5000
Zn 0.6307 0.0000 0.9389
Zn 0.8693 0.5000 0.0611
Ir 0.1431 0.0000 0.6905
Ir 0.3569 0.5000 0.3095
Ir 0.6431 0.5000 0.6905
Ir 0.8569 0.0000 0.3095

Calculated values
As for the space group: No. 12. Its calculated volume is 281 Å³ per cell. The total energy comes out at -5.81 eV/atom. The value obtained for the energy of formation from the pure elements is -4.29 eV per formula unit. Its density of states at the Fermi level is 3.4 states/eV/f.u.

---

(5)
The following is a DFT calculation (PBE) of crystalline Na4Sm3DyS8 at its relaxed geometry.

a = 8.1652 Å, b = 8.1652 Å, c = 8.1652 Å
α = 59.55°, β = 59.55°, γ = 59.55°
Element x y z (fractional)
Na 0.0000 0.0000 0.0000
Na 0.0000 0.5000 0.5000
Na 0.5000 0.0000 0.5000
Na 0.5000 0.5000 0.0000
Sm 0.0000 0.0000 0.5000
Sm 0.0000 0.5000 0.0000
Sm 0.5000 0.0000 0.0000
Dy 0.5000 0.5000 0.5000
S 0.2439 0.2439 0.2439
S 0.2479 0.7406 0.7406
S 0.2594 0.2594 0.7521
S 0.2594 0.7521 0.2594
S 0.7406 0.2479 0.7406
S 0.7406 0.7406 0.2479
S 0.7521 0.2594 0.2594
S 0.7561 0.7561 0.7561

Calculated values
As for the space group: No. 166. Its calculated volume is 381 Å³ per cell. The formation energy without anion corrections comes out at -1.82 eV per atom. The total energy comes out at -5.39 eV/atom. Its density of states at the Fermi level is 0.0 states/eV/f.u.

---

(6)
The following is a DFT calculation (PBE) of crystalline Bi2IrPb2 at its relaxed geometry.

a = 7.1240 Å, b = 7.1240 Å, c = 5.7763 Å
α = 90.00°, β = 90.00°, γ = 90.00°
Element x y z (fractional)
Bi 0.1519 0.3481 0.0000
Bi 0.3481 0.8481 0.0000
Bi 0.6519 0.1519 0.0000
Bi 0.8481 0.6519 0.0000
Ir 0.0000 0.0000 0.0000
Ir 0.5000 0.5000 0.0000
Pb 0.1716 0.6716 0.5000
Pb 0.3284 0.1716 0.5000
Pb 0.6716 0.8284 0.5000
Pb 0.8284 0.3284 0.5000

Calculated values
As for the space group: No. 127. Its calculated volume is 293 Å³ per cell. The total energy comes out at -4.54 eV/atom. The value obtained for the energy of formation from the pure elements is 1.33 eV per formula unit. Its density of states at the Fermi level is 3.9 states/eV/f.u.

---

(7)
The following is a DFT calculation (PBE) of crystalline NaBeZn2Mo at its relaxed geometry.

a = 5.0079 Å, b = 5.0079 Å, c = 4.4685 Å
α = 90.00°, β = 90.00°, γ = 90.00°
Element x y z (fractional)
Na 0.0000 0.0000 0.0000
Be 0.5000 0.5000 0.0000
Zn 0.0000 0.5000 0.5000
Zn 0.5000 0.0000 0.5000
Mo 0.5000 0.5000 0.5000

Calculated values
As for the space group: No. 123. Its calculated volume is 112 Å³ per cell. The total energy comes out at -2.84 eV/atom. The value obtained for the energy of formation from the pure elements is 4.21 eV per formula unit. Its density of states at the Fermi level is 4.1 states/eV/f.u.

---

Question: Among the records above, which one has the lowest calculated volume?
Answer: GaAgPt